Entry 1:
# CaGd2Fe (GGA-PBE, relaxed)
# Energy relative to the lowest polymorph listed for this composition in meV/atom: 187
# Space group: R-3m, No. 166
# ΔH_f (0 K) in eV/atom: 0.25
data_CaGd2Fe
_space_group_name_H-M_alt 'P 1'
_space_group_IT_number 1
_space_group_name_Hall 'P 1'
_cell_length_a 10.758
_cell_length_b 10.758
_cell_length_c 10.758
_cell_angle_alpha 19.76
_cell_angle_beta 19.76
_cell_angle_gamma 19.76
loop_
_atom_site_label
_atom_site_type_symbol
_atom_site_fract_x
_atom_site_fract_y
_atom_site_fract_z
Ca1 Ca 0.000 0.000 0.000
Gd1 Gd 0.113 0.113 0.113
Gd2 Gd 0.887 0.887 0.887
Fe1 Fe 0.500 0.500 0.500

Entry 2:
# TlAgBiSe2 (GGA-PBE, relaxed)
# Energy relative to the elements, uncorrected in eV/atom: -0.171
# Space group: P2/c, No. 13
data_TlAgBiSe2
_space_group_name_H-M_alt 'P 1'
_space_group_IT_number 1
_space_group_name_Hall 'P 1'
_cell_length_a 7.595
_cell_length_b 4.445
_cell_length_c 8.791
_cell_angle_alpha 90.00
_cell_angle_beta 95.38
_cell_angle_gamma 90.00
loop_
_atom_site_label
_atom_site_type_symbol
_atom_site_fract_x
_atom_site_fract_y
_atom_site_fract_z
Tl1 Tl 0.000 0.090 0.250
Tl2 Tl 0.000 0.910 0.750
Ag1 Ag 0.500 0.000 0.000
Ag2 Ag 0.500 0.000 0.500
Bi1 Bi 0.500 0.492 0.750
Bi2 Bi 0.500 0.508 0.250
Se1 Se 0.238 0.387 0.981
Se2 Se 0.238 0.613 0.481
Se3 Se 0.762 0.387 0.519
Se4 Se 0.762 0.613 0.019

Entry 3:
# KSr2W (GGA-PBE, relaxed)
# Energy relative to the lowest polymorph listed for this composition in meV/atom: 267
# Space group: Pm, No. 6
# ΔH_f (0 K) in eV/atom: 1.24
data_KSr2W
_space_group_name_H-M_alt 'P 1'
_space_group_IT_number 1
_space_group_name_Hall 'P 1'
_cell_length_a 3.283
_cell_length_b 5.599
_cell_length_c 8.909
_cell_angle_alpha 90.00
_cell_angle_beta 90.07
_cell_angle_gamma 90.00
loop_
_atom_site_label
_atom_site_type_symbol
_atom_site_fract_x
_atom_site_fract_y
_atom_site_fract_z
K1 K 0.000 0.000 0.000
Sr1 Sr 0.494 0.000 0.400
Sr2 Sr 0.498 0.500 0.647
W1 W 0.994 0.500 0.332

Entry 4:
# NaCdAu2 (GGA-PBE, relaxed)
# Space group: R3m, No. 160
# ΔH_f (0 K) in eV/atom: -0.07
data_NaCdAu2
_space_group_name_H-M_alt 'P 1'
_space_group_IT_number 1
_space_group_name_Hall 'P 1'
_cell_length_a 7.138
_cell_length_b 7.138
_cell_length_c 7.138
_cell_angle_alpha 34.05
_cell_angle_beta 34.05
_cell_angle_gamma 34.05
loop_
_atom_site_label
_atom_site_type_symbol
_atom_site_fract_x
_atom_site_fract_y
_atom_site_fract_z
Na1 Na 0.000 0.000 0.000
Cd1 Cd 0.830 0.830 0.830
Au1 Au 0.424 0.424 0.424
Au2 Au 0.572 0.572 0.572

Entry 5:
# Y2CdPb5 (GGA-PBE, relaxed)
# Space group: Pbam, No. 55
# ΔH_f (0 K) in eV/atom: -0.31
data_Y2CdPb5
_space_group_name_H-M_alt 'P 1'
_space_group_IT_number 1
_space_group_name_Hall 'P 1'
_cell_length_a 6.728
_cell_length_b 13.463
_cell_length_c 4.966
_cell_angle_alpha 90.00
_cell_angle_beta 90.00
_cell_angle_gamma 90.00
loop_
_atom_site_label
_atom_site_type_symbol
_atom_site_fract_x
_atom_site_fract_y
_atom_site_fract_z
Y1 Y 0.226 0.132 0.000
Y2 Y 0.274 0.632 0.000
Y3 Y 0.726 0.368 0.000
Y4 Y 0.774 0.868 0.000
Cd1 Cd 0.000 0.500 0.500
Cd2 Cd 0.500 0.000 0.500
Pb1 Pb 0.000 0.000 0.500
Pb2 Pb 0.023 0.745 0.500
Pb3 Pb 0.224 0.384 0.000
Pb4 Pb 0.276 0.884 0.000
Pb5 Pb 0.477 0.245 0.500
Pb6 Pb 0.500 0.500 0.500
Pb7 Pb 0.523 0.755 0.500
Pb8 Pb 0.724 0.116 0.000
Pb9 Pb 0.776 0.616 0.000
Pb10 Pb 0.977 0.255 0.500

Entry 6:
# NaCu3Br (GGA-PBE, relaxed)
# Energy relative to the elements, uncorrected in eV/atom: 1.139
# Energy relative to the lowest polymorph listed for this composition in meV/atom: 341
# Space group: Pm-3m, No. 221
data_NaCu3Br
_space_group_name_H-M_alt 'P 1'
_space_group_IT_number 1
_space_group_name_Hall 'P 1'
_cell_length_a 4.838
_cell_length_b 4.838
_cell_length_c 4.838
_cell_angle_alpha 90.00
_cell_angle_beta 90.00
_cell_angle_gamma 90.00
loop_
_atom_site_label
_atom_site_type_symbol
_atom_site_fract_x
_atom_site_fract_y
_atom_site_fract_z
Na1 Na 0.000 0.000 0.000
Cu1 Cu 0.000 0.000 0.500
Cu2 Cu 0.000 0.500 0.000
Cu3 Cu 0.500 0.000 0.000
Br1 Br 0.500 0.500 0.500

Entry 7:
# Ag2PbO2 (GGA-PBE, relaxed)
# Energy relative to the elements, uncorrected in eV/atom: -0.037
# Space group: I4/mmm, No. 139
data_Ag2PbO2
_space_group_name_H-M_alt 'P 1'
_space_group_IT_number 1
_space_group_name_Hall 'P 1'
_cell_length_a 5.311
_cell_length_b 5.311
_cell_length_c 5.311
_cell_angle_alpha 131.12
_cell_angle_beta 131.12
_cell_angle_gamma 71.62
loop_
_atom_site_label
_atom_site_type_symbol
_atom_site_fract_x
_atom_site_fract_y
_atom_site_fract_z
Ag1 Ag 0.161 0.161 0.000
Ag2 Ag 0.839 0.839 0.000
Pb1 Pb 0.500 0.500 0.000
O1 O 0.250 0.750 0.500
O2 O 0.750 0.250 0.500

Entry 8:
# BePPt2 (GGA-PBE, relaxed)
# Energy relative to the lowest polymorph listed for this composition in meV/atom: 279
# Space group: Cmmm, No. 65
# ΔH_f (0 K) in eV/atom: -0.19
data_BePPt2
_space_group_name_H-M_alt 'P 1'
_space_group_IT_number 1
_space_group_name_Hall 'P 1'
_cell_length_a 4.193
_cell_length_b 4.193
_cell_length_c 3.088
_cell_angle_alpha 90.00
_cell_angle_beta 90.00
_cell_angle_gamma 96.66
loop_
_atom_site_label
_atom_site_type_symbol
_atom_site_fract_x
_atom_site_fract_y
_atom_site_fract_z
Be1 Be 0.000 0.000 0.000
P1 P 0.500 0.500 0.000
Pt1 Pt 0.000 0.500 0.500
Pt2 Pt 0.500 0.000 0.500

Entry 9:
# Na3ZnF (GGA-PBE, relaxed)
# Energy relative to the elements, uncorrected in eV/atom: -0.942
# Energy relative to the lowest polymorph listed for this composition in meV/atom: 0
# Space group: Pm-3m, No. 221
data_Na3ZnF
_space_group_name_H-M_alt 'P 1'
_space_group_IT_number 1
_space_group_name_Hall 'P 1'
_cell_length_a 4.756
_cell_length_b 4.756
_cell_length_c 4.756
_cell_angle_alpha 90.00
_cell_angle_beta 90.00
_cell_angle_gamma 90.00
loop_
_atom_site_label
_atom_site_type_symbol
_atom_site_fract_x
_atom_site_fract_y
_atom_site_fract_z
Na1 Na 0.000 0.000 0.500
Na2 Na 0.000 0.500 0.000
Na3 Na 0.500 0.000 0.000
Zn1 Zn 0.500 0.500 0.500
F1 F 0.000 0.000 0.000

Entry 10:
# Be2FeTcPd (GGA-PBE, relaxed)
# Space group: P4/mmm, No. 123
# ΔH_f (0 K) in eV/atom: 1.51
data_Be2FeTcPd
_space_group_name_H-M_alt 'P 1'
_space_group_IT_number 1
_space_group_name_Hall 'P 1'
_cell_length_a 4.151
_cell_length_b 4.151
_cell_length_c 4.680
_cell_angle_alpha 90.00
_cell_angle_beta 90.00
_cell_angle_gamma 90.00
loop_
_atom_site_label
_atom_site_type_symbol
_atom_site_fract_x
_atom_site_fract_y
_atom_site_fract_z
Be1 Be 0.000 0.500 0.000
Be2 Be 0.500 0.000 0.000
Fe1 Fe 0.000 0.000 0.500
Tc1 Tc 0.500 0.500 0.000
Pd1 Pd 0.500 0.500 0.500

Entry 11:
# Sr3TaCd (GGA-PBE, relaxed)
# Energy relative to the lowest polymorph listed for this composition in meV/atom: 0
# Space group: Pm-3m, No. 221
# ΔH_f (0 K) in eV/atom: 0.92
data_Sr3TaCd
_space_group_name_H-M_alt 'P 1'
_space_group_IT_number 1
_space_group_name_Hall 'P 1'
_cell_length_a 5.952
_cell_length_b 5.952
_cell_length_c 5.952
_cell_angle_alpha 90.00
_cell_angle_beta 90.00
_cell_angle_gamma 90.00
loop_
_atom_site_label
_atom_site_type_symbol
_atom_site_fract_x
_atom_site_fract_y
_atom_site_fract_z
Sr1 Sr 0.000 0.000 0.500
Sr2 Sr 0.000 0.500 0.000
Sr3 Sr 0.500 0.000 0.000
Ta1 Ta 0.000 0.000 0.000
Cd1 Cd 0.500 0.500 0.500

Entry 12:
# MgZn2Co2 (GGA-PBE, relaxed)
# Energy relative to the lowest polymorph listed for this composition in meV/atom: 114
# Space group: I4/mmm, No. 139
# ΔH_f (0 K) in eV/atom: 0.16
data_MgZn2Co2
_space_group_name_H-M_alt 'P 1'
_space_group_IT_number 1
_space_group_name_Hall 'P 1'
_cell_length_a 6.497
_cell_length_b 6.497
_cell_length_c 6.497
_cell_angle_alpha 148.57
_cell_angle_beta 148.57
_cell_angle_gamma 45.05
loop_
_atom_site_label
_atom_site_type_symbol
_atom_site_fract_x
_atom_site_fract_y
_atom_site_fract_z
Mg1 Mg 0.000 0.000 0.000
Zn1 Zn 0.395 0.395 0.000
Zn2 Zn 0.605 0.605 0.000
Co1 Co 0.250 0.750 0.500
Co2 Co 0.750 0.250 0.500

Entry 13:
# GeSbBr2 (GGA-PBE, relaxed)
# Energy relative to the elements, uncorrected in eV/atom: 0.310
# Energy relative to the lowest polymorph listed for this composition in meV/atom: 309
# Space group: Fm-3m, No. 225
data_GeSbBr2
_space_group_name_H-M_alt 'P 1'
_space_group_IT_number 1
_space_group_name_Hall 'P 1'
_cell_length_a 5.238
_cell_length_b 5.238
_cell_length_c 5.238
_cell_angle_alpha 60.00
_cell_angle_beta 60.00
_cell_angle_gamma 60.00
loop_
_atom_site_label
_atom_site_type_symbol
_atom_site_fract_x
_atom_site_fract_y
_atom_site_fract_z
Ge1 Ge 0.000 0.000 0.000
Sb1 Sb 0.500 0.500 0.500
Br1 Br 0.250 0.250 0.250
Br2 Br 0.750 0.750 0.750

Entry 14:
# LiTcP (GGA-PBE, relaxed)
# Energy relative to the lowest polymorph listed for this composition in meV/atom: 96
# Space group: Imm2, No. 44
# ΔH_f (0 K) in eV/atom: -0.44
data_LiTcP
_space_group_name_H-M_alt 'P 1'
_space_group_IT_number 1
_space_group_name_Hall 'P 1'
_cell_length_a 5.637
_cell_length_b 5.637
_cell_length_c 5.637
_cell_angle_alpha 148.66
_cell_angle_beta 95.70
_cell_angle_gamma 92.67
loop_
_atom_site_label
_atom_site_type_symbol
_atom_site_fract_x
_atom_site_fract_y
_atom_site_fract_z
Li1 Li 0.000 0.000 0.000
Li2 Li 0.656 0.156 0.500
Tc1 Tc 0.222 0.374 0.847
Tc2 Tc 0.527 0.374 0.153
P1 P 0.386 0.658 0.729
P2 P 0.929 0.658 0.271

Entry 15:
# NbTc2Ag2 (GGA-PBE, relaxed)
# Energy relative to the lowest polymorph listed for this composition in meV/atom: 0
# Space group: I4/mmm, No. 139
# ΔH_f (0 K) in eV/atom: 0.65
data_NbTc2Ag2
_space_group_name_H-M_alt 'P 1'
_space_group_IT_number 1
_space_group_name_Hall 'P 1'
_cell_length_a 7.103
_cell_length_b 7.103
_cell_length_c 7.103
_cell_angle_alpha 149.70
_cell_angle_beta 149.70
_cell_angle_gamma 43.38
loop_
_atom_site_label
_atom_site_type_symbol
_atom_site_fract_x
_atom_site_fract_y
_atom_site_fract_z
Nb1 Nb 0.000 0.000 0.000
Tc1 Tc 0.415 0.415 0.000
Tc2 Tc 0.585 0.585 0.000
Ag1 Ag 0.250 0.750 0.500
Ag2 Ag 0.750 0.250 0.500

Entry 16:
# Pr2HoEr (GGA-PBE, relaxed)
# Energy relative to the lowest polymorph listed for this composition in meV/atom: 44
# Space group: Amm2, No. 38
# ΔH_f (0 K) in eV/atom: 0.06
data_Pr2HoEr
_space_group_name_H-M_alt 'P 1'
_space_group_IT_number 1
_space_group_name_Hall 'P 1'
_cell_length_a 5.613
_cell_length_b 6.940
_cell_length_c 6.940
_cell_angle_alpha 29.79
_cell_angle_beta 90.00
_cell_angle_gamma 90.00
loop_
_atom_site_label
_atom_site_type_symbol
_atom_site_fract_x
_atom_site_fract_y
_atom_site_fract_z
Pr1 Pr 0.000 0.000 0.000
Pr2 Pr 0.500 0.385 0.385
Ho1 Ho 0.000 0.737 0.737
Er1 Er 0.500 0.128 0.128

Entry 17:
# KN2OF (GGA-PBE, relaxed)
# Energy relative to the elements, uncorrected in eV/atom: 1.768
# Space group: P4/mmm, No. 123
data_KN2OF
_space_group_name_H-M_alt 'P 1'
_space_group_IT_number 1
_space_group_name_Hall 'P 1'
_cell_length_a 5.806
_cell_length_b 5.806
_cell_length_c 4.790
_cell_angle_alpha 90.00
_cell_angle_beta 90.00
_cell_angle_gamma 90.00
loop_
_atom_site_label
_atom_site_type_symbol
_atom_site_fract_x
_atom_site_fract_y
_atom_site_fract_z
K1 K 0.000 0.000 0.000
N1 N 0.000 0.500 0.000
N2 N 0.500 0.000 0.000
O1 O 0.500 0.500 0.500
F1 F 0.000 0.000 0.500

Entry 18:
# SmURu2 (GGA-PBE, relaxed)
# Space group: P4/mmm, No. 123
# ΔH_f (0 K) in eV/atom: -0.13
data_SmURu2
_space_group_name_H-M_alt 'P 1'
_space_group_IT_number 1
_space_group_name_Hall 'P 1'
_cell_length_a 4.882
_cell_length_b 4.882
_cell_length_c 3.357
_cell_angle_alpha 90.00
_cell_angle_beta 90.00
_cell_angle_gamma 90.00
loop_
_atom_site_label
_atom_site_type_symbol
_atom_site_fract_x
_atom_site_fract_y
_atom_site_fract_z
Sm1 Sm 0.000 0.000 0.000
U1 U 0.500 0.500 0.000
Ru1 Ru 0.000 0.500 0.500
Ru2 Ru 0.500 0.000 0.500

Entry 19:
# AcCeHo2Sb4 (GGA-PBE, relaxed)
# Energy relative to the elements, uncorrected in eV/atom: -1.100
# Space group: P2/m, No. 10
data_AcCeHo2Sb4
_space_group_name_H-M_alt 'P 1'
_space_group_IT_number 1
_space_group_name_Hall 'P 1'
_cell_length_a 7.804
_cell_length_b 4.521
_cell_length_c 7.834
_cell_angle_alpha 90.00
_cell_angle_beta 109.48
_cell_angle_gamma 90.00
loop_
_atom_site_label
_atom_site_type_symbol
_atom_site_fract_x
_atom_site_fract_y
_atom_site_fract_z
Ac1 Ac 0.000 0.000 0.000
Ce1 Ce 0.000 0.500 0.500
Ho1 Ho 0.500 0.000 0.500
Ho2 Ho 0.500 0.500 0.000
Sb1 Sb 0.263 0.000 0.747
Sb2 Sb 0.269 0.500 0.264
Sb3 Sb 0.731 0.500 0.736
Sb4 Sb 0.737 0.000 0.253

Entry 20:
# GaS3F (GGA-PBE, relaxed)
# Energy relative to the elements, uncorrected in eV/atom: 0.516
# Energy relative to the lowest polymorph listed for this composition in meV/atom: 0
# Space group: Pm-3m, No. 221
data_GaS3F
_space_group_name_H-M_alt 'P 1'
_space_group_IT_number 1
_space_group_name_Hall 'P 1'
_cell_length_a 4.630
_cell_length_b 4.630
_cell_length_c 4.630
_cell_angle_alpha 90.00
_cell_angle_beta 90.00
_cell_angle_gamma 90.00
loop_
_atom_site_label
_atom_site_type_symbol
_atom_site_fract_x
_atom_site_fract_y
_atom_site_fract_z
Ga1 Ga 0.000 0.000 0.000
S1 S 0.000 0.000 0.500
S2 S 0.000 0.500 0.000
S3 S 0.500 0.000 0.000
F1 F 0.500 0.500 0.500

Calculated volume (Å³/atom)
31.10, 29.55, 40.94, 25.41, 28.11, 22.64, 16.64, 13.48, 21.52, 16.13, 42.18, 14.87, 25.40, 14.94, 18.19, 33.58, 32.30, 20.00, 32.57, 19.85
Total DFT energy (no corrections) (eV per cell)
-37.61, -33.84, -12.44, -9.06, -69.79, -9.58, -19.51, -21.99, -11.81, -23.94, -13.19, -17.54, -10.85, -38.03, -33.27, -18.47, -15.74, -35.09, -44.49, -14.70